HgRu2Pb | SCAN | PBEsol geometry

Cell: 3.0055 5.2709 5.3663 Å, 118.53 104.85 92.76°
With the nearest neighbours (Å) after each atom.
Positions (direct):
Hg (0.0000, 0.5000, 0.0000)  4 Ru 2.72, 2 Pb 2.97, 2 Hg 3.01
Pb (0.5000, 0.0000, 0.0000)  4 Ru 2.72, 2 Hg 2.97, 2 Pb 3.01
Ru (0.5000, 0.5000, 0.5000)  2 Hg 2.72, 2 Pb 2.72, 4 Ru 2.97-3.01
Ru (0.0000, 0.0000, 0.5000)  2 Pb 2.72, 2 Hg 2.72, 4 Ru 2.97-3.01

Properties
As for the energy above the most stable polymorph in this dataset: 0.0 meV per atom. Its symmetry is C2/m (12). The formation energy is 0.792 eV/atom. Its calculated total energy is -1.933 Ha/atom.

HgRu2Pb | SCAN | PBEsol geometry

Cell: 4.6490 4.6490 4.6490 Å, 60.00 60.00 60.00°
With the nearest neighbours (Å) after each atom.
Positions (direct):
Hg (0.5000, 0.5000, 0.5000)  4 Pb 2.85, 4 Ru 2.85
Pb (0.2500, 0.2500, 0.2500)  4 Ru 2.85, 4 Hg 2.85
Ru (0.0000, 0.0000, 0.0000)  4 Ru 2.85, 4 Pb 2.85
Ru (0.7500, 0.7500, 0.7500)  4 Ru 2.85, 4 Hg 2.85

Properties
As for the energy above the most stable polymorph in this dataset: 86.1 meV per atom. Its symmetry is F-43m (216). The formation energy is 0.878 eV/atom. Its calculated total energy is -1.930 Ha/atom.

TcHgRuPb2 | SCAN | PBEsol geometry

Cell: 5.0000 5.3886 5.3886 Å, 90.00 90.00 90.00°
With the nearest neighbours (Å) after each atom.
Positions (direct):
Pb (0.0000, 0.0000, 0.5000)  2 Hg 2.69
Pb (0.0000, 0.5000, 0.0000)  2 Hg 2.69
Ru (0.5000, 0.0000, 0.0000)  2 Hg 2.50
Hg (0.0000, 0.0000, 0.0000)  2 Ru 2.50, 4 Pb 2.69
Tc (0.5000, 0.5000, 0.5000)  8 Pb 3.68, 4 Ru 3.81

Properties
Its symmetry is P4/mmm (123). The formation energy is 1.834 eV/atom. Its calculated total energy is -2.061 Ha/atom.

HgTe2RuPb | SCAN | PBEsol geometry

Cell: 5.4468 5.4872 5.4872 Å, 90.00 90.00 90.00°
With the nearest neighbours (Å) after each atom.
Positions (direct):
Pb (0.5000, 0.0000, 0.0000)  2 Hg 2.72
Ru (0.5000, 0.5000, 0.5000)  8 Te 3.87, 4 Pb 3.88
Te (0.0000, 0.0000, 0.5000)  2 Hg 2.74
Te (0.0000, 0.5000, 0.0000)  2 Hg 2.74
Hg (0.0000, 0.0000, 0.0000)  2 Pb 2.72, 4 Te 2.74

Properties
Its symmetry is P4/mmm (123). The value obtained for the energy relative to the elements, uncorrected is 1282.4 meV per atom. Its calculated total energy is -1.814 Ha/atom.

HgPbS2 | SCAN | PBEsol geometry

Cell: 4.4447 4.4447 7.8756 Å, 73.61 73.61 60.00°
With the nearest neighbours (Å) after each atom.
Positions (direct):
Pb (0.5000, 0.5000, 0.5000)  6 S 2.93
S (0.8969, 0.8969, 0.3092)  1 Hg 2.30
S (0.1031, 0.1031, 0.6908)  1 Hg 2.30
Hg (0.0000, 0.0000, 0.0000)  2 S 2.30

Properties
Its symmetry is R-3m (166). The value obtained for the energy relative to the elements, uncorrected is -290.4 meV per atom. Its calculated total energy is -1.510 Ha/atom.

SnHgPb2S | SCAN | PBEsol geometry

Cell: 5.6202 5.6202 5.2881 Å, 90.00 90.00 90.00°
With the nearest neighbours (Å) after each atom.
Positions (direct):
Pb (0.0000, 0.5000, 0.0000)  2 Hg 2.81
Pb (0.5000, 0.0000, 0.0000)  2 Hg 2.81
S (0.5000, 0.5000, 0.5000)  8 Pb 3.86, 4 Sn 3.97
Hg (0.0000, 0.0000, 0.0000)  2 Sn 2.64, 4 Pb 2.81
Sn (0.0000, 0.0000, 0.5000)  2 Hg 2.64

Properties
Its symmetry is P4/mmm (123). The value obtained for the energy relative to the elements, uncorrected is 622.2 meV per atom. Its calculated total energy is -1.927 Ha/atom.

Hg2SbPb | SCAN | PBEsol geometry

Cell: 3.2147 5.3764 6.1430 Å, 90.00 97.63 90.00°
With the nearest neighbours (Å) after each atom.
Positions (direct):
Pb (0.0406, 0.0000, 0.5352)  2 Hg 3.07-3.09, 2 Sb 3.20, 2 Pb 3.21
Sb (0.4979, 0.5000, 0.7185)  2 Hg 3.05-3.09, 2 Pb 3.20, 2 Sb 3.21
Hg (0.9657, 0.0000, 0.0319)  2 Pb 3.07-3.09, 6 Hg 3.21-3.35
Hg (0.4958, 0.5000, 0.2145)  2 Sb 3.05-3.09, 6 Hg 3.21-3.35

Properties
Its symmetry is Pm (6). The value obtained for the energy relative to the elements, uncorrected is 69.2 meV per atom. Its calculated total energy is -2.289 Ha/atom.

HgSbPb2 | SCAN | PBEsol geometry

Cell: 3.4720 5.7029 6.0811 Å, 107.79 106.59 90.00°
With the nearest neighbours (Å) after each atom.
Positions (direct):
Pb (0.0129, 0.0430, 0.0259)  3 Hg 3.23-3.42, 4 Sb 3.33-3.37, 4 Pb 3.47-3.58
Pb (0.2408, 0.7144, 0.4815)  3 Sb 3.30-3.38, 4 Hg 3.32-3.37, 4 Pb 3.47-3.58
Sb (0.4868, 0.5212, 0.9735)  2 Hg 3.17, 7 Pb 3.30-3.38, 2 Sb 3.47
Hg (0.7596, 0.2214, 0.5191)  2 Sb 3.17, 7 Pb 3.23-3.42, 2 Hg 3.47

Properties
As for the energy above the most stable polymorph in this dataset: 37.7 meV per atom. Its symmetry is Cm (8). The value obtained for the energy relative to the elements, uncorrected is 78.1 meV per atom. Its calculated total energy is -2.358 Ha/atom.

HgSb2Pb | SCAN | PBEsol geometry

Cell: 5.3162 5.3162 5.3162 Å, 60.00 60.00 60.00°
With the nearest neighbours (Å) after each atom.
Positions (direct):
Pb (0.5000, 0.5000, 0.5000)  8 Sb 3.26
Sb (0.2500, 0.2500, 0.2500)  4 Hg 3.26, 4 Pb 3.26
Sb (0.7500, 0.7500, 0.7500)  4 Hg 3.26, 4 Pb 3.26
Hg (0.0000, 0.0000, 0.0000)  8 Sb 3.26

Properties
As for the energy above the most stable polymorph in this dataset: 161.1 meV per atom. Its symmetry is Fm-3m (225). The value obtained for the energy relative to the elements, uncorrected is 203.7 meV per atom. Its calculated total energy is -2.000 Ha/atom.

HgSbPb2 | SCAN | PBEsol geometry

Cell: 3.9020 3.9016 7.2544 Å, 90.00 90.00 90.00°
With the nearest neighbours (Å) after each atom.
Positions (direct):
Pb (0.0000, 0.0000, 0.7546)  4 Sb 3.28, 4 Hg 3.32, 1 Pb 3.56
Pb (0.0000, 0.0000, 0.2454)  4 Sb 3.28, 4 Hg 3.32, 1 Pb 3.56
Sb (0.5000, 0.5000, 0.0000)  8 Pb 3.28, 2 Hg 3.63
Hg (0.5000, 0.5000, 0.5000)  8 Pb 3.32, 2 Sb 3.63

Properties
As for the energy above the most stable polymorph in this dataset: 0.0 meV per atom. Its symmetry is P4/mmm (123). The value obtained for the energy relative to the elements, uncorrected is 40.4 meV per atom. Its calculated total energy is -2.360 Ha/atom.

HgSbPb2 | SCAN | PBEsol geometry

Cell: 3.2266 5.4249 6.3470 Å, 90.00 96.48 90.00°
With the nearest neighbours (Å) after each atom.
Positions (direct):
Pb (0.1126, 0.0000, 0.9887)  4 Pb 3.23-3.51, 2 Hg 3.24, 3 Sb 3.31-3.59
Pb (0.6241, 0.5000, 0.2556)  4 Pb 3.23-3.51, 2 Hg 3.24-3.35, 2 Sb 3.26
Sb (0.4142, 0.0000, 0.5071)  2 Hg 3.13, 2 Sb 3.23, 4 Pb 3.26-3.32
Hg (0.3490, 0.5000, 0.7485)  2 Sb 3.13, 2 Hg 3.23, 4 Pb 3.24-3.35

Properties
As for the energy above the most stable polymorph in this dataset: 29.5 meV per atom. Its symmetry is Pm (6). The value obtained for the energy relative to the elements, uncorrected is 69.9 meV per atom. Its calculated total energy is -2.358 Ha/atom.

HgSbPb2 | SCAN | PBEsol geometry

Cell: 3.2905 5.5313 6.4222 Å, 96.25 90.00 107.30°
With the nearest neighbours (Å) after each atom.
Positions (direct):
Pb (0.7496, 0.4993, 0.7583)  3 Hg 3.21-3.34, 3 Sb 3.28-3.38, 4 Pb 3.29-3.51
Pb (0.2504, 0.5007, 0.2417)  3 Hg 3.21-3.34, 3 Sb 3.28-3.38, 4 Pb 3.29-3.51
Sb (0.0000, 0.0000, 0.5000)  6 Pb 3.28-3.38, 2 Sb 3.29, 4 Hg 3.61
Hg (0.5000, 0.0000, 0.0000)  6 Pb 3.21-3.34, 2 Hg 3.29

Properties
As for the energy above the most stable polymorph in this dataset: 40.0 meV per atom. Its symmetry is C2/m (12). The value obtained for the energy relative to the elements, uncorrected is 80.4 meV per atom. Its calculated total energy is -2.358 Ha/atom.

Hg2SbPb | SCAN | PBEsol geometry

Cell: 3.2603 5.0805 6.2563 Å, 90.00 94.48 90.00°
With the nearest neighbours (Å) after each atom.
Positions (direct):
Pb (0.5000, 0.5000, 0.0000)  8 Hg 3.24-3.55, 2 Pb 3.26, 2 Sb 3.41
Sb (0.0000, 0.5000, 0.5000)  4 Hg 3.05, 2 Sb 3.26, 2 Pb 3.41
Hg (0.8637, 0.0000, 0.7552)  2 Sb 3.05, 4 Hg 3.12-3.38, 2 Pb 3.24
Hg (0.1363, 0.0000, 0.2448)  2 Sb 3.05, 4 Hg 3.12-3.38, 2 Pb 3.24

Properties
Its symmetry is P2/m (10). The value obtained for the energy relative to the elements, uncorrected is 82.2 meV per atom. Its calculated total energy is -2.288 Ha/atom.

Hg2SbPb | SCAN | PBEsol geometry

Cell: 4.2920 4.4640 5.3694 Å, 90.00 90.00 90.00°
With the nearest neighbours (Å) after each atom.
Positions (direct):
Pb (0.5000, 0.5000, 0.0000)  4 Hg 3.10, 4 Sb 3.44
Sb (0.0000, 0.5000, 0.5000)  4 Hg 3.10, 4 Pb 3.44
Hg (0.0000, 0.0000, 0.0000)  4 Pb 3.10, 4 Hg 3.44
Hg (0.5000, 0.0000, 0.5000)  4 Sb 3.10, 4 Hg 3.44

Properties
Its symmetry is Pmmm (47). The value obtained for the energy relative to the elements, uncorrected is 92.0 meV per atom. Its calculated total energy is -2.288 Ha/atom.

HgSb2Pb | SCAN | PBEsol geometry

Cell: 3.8952 3.8952 7.0855 Å, 90.00 90.00 90.00°
With the nearest neighbours (Å) after each atom.
Positions (direct):
Pb (0.5000, 0.5000, 0.7366)  4 Hg 3.22, 6 Sb 3.46-3.59
Sb (0.0000, 0.0000, 0.0330)  4 Sb 3.09, 1 Hg 3.32
Sb (0.5000, 0.5000, 0.2292)  4 Sb 3.09, 4 Hg 3.36
Hg (0.0000, 0.0000, 0.5010)  4 Pb 3.22, 5 Sb 3.32-3.36

Properties
As for the energy above the most stable polymorph in this dataset: 75.0 meV per atom. Its symmetry is P4mm (99). The value obtained for the energy relative to the elements, uncorrected is 117.6 meV per atom. Its calculated total energy is -2.003 Ha/atom.